Below is crystalline Tc3IO12 at its relaxed geometry, with properties calculated at the PBE level.

Calculated values
E_form (uncorrected), eV per formula unit: -15.64
DOS at the Fermi energy, states/eV/cell: 1.0
Final energy, eV/atom: -6.737
Space group: R3c

Lattice parameters (Å, degrees): 9.1604 9.1604 10.9506 65.28 65.28 60.00
Site moments in Bohr magnetons follow the coordinates.
Positions (direct):
O 0.4409 0.0814 0.0037  0.03
O 0.7875 0.4863 0.8508  0.03
O 0.7609 0.6990 0.1456  0.04
O 0.8755 0.7875 0.8508  0.03
O 0.2875 0.3755 0.3508  0.03
O 0.6990 0.3946 0.1456  0.04
O 0.3086 0.5584 0.4918  0.10
O 0.2609 0.8946 0.6456  0.04
Tc 0.9435 0.6869 0.0004  0.07
O 0.9863 0.2875 0.3508  0.03
O 0.8086 0.1411 0.9918  0.10
O 0.3755 0.9863 0.3508  0.03
Tc 0.6869 0.3692 0.0004  0.07
O 0.0814 0.4740 0.0037  0.03
O 0.9740 0.5814 0.5037  0.03
O 0.4863 0.8755 0.8508  0.03
O 0.6411 0.3086 0.4918  0.10
O 0.9409 0.9740 0.5037  0.03
I 0.0549 0.0549 0.8354  0.76
O 0.1411 0.0584 0.9918  0.10
O 0.5584 0.6411 0.4918  0.10
O 0.4740 0.4409 0.0037  0.03
Tc 0.4435 0.8692 0.5004  0.07
Tc 0.1869 0.4435 0.5004  0.07
O 0.5814 0.9409 0.5037  0.03
O 0.1990 0.2609 0.6456  0.04
O 0.3946 0.7609 0.1456  0.04
I 0.5549 0.5549 0.3354  0.76
O 0.8946 0.1990 0.6456  0.04
O 0.0584 0.8086 0.9918  0.10
Tc 0.3692 0.9435 0.0004  0.07
Tc 0.8692 0.1869 0.5004  0.07